VASP calculation (meta-GGA SCAN) on a crystal of Tb3Co4Sn13 relaxed with PBEsol.

POSCAR file:
```
Tb3Co4Sn13
1.0
-3.537 -8.419 -2.247
5.165 -0.073 -7.859
7.018 -4.190 4.651
Sn Co Tb
26 8 6
Cartesian
4.062 -8.910 -4.648
4.323 -6.341 -2.727
6.211 -3.794 -3.282
5.898 -8.940 -1.668
1.648 -5.659 -1.072
4.838 -6.088 3.236
3.859 -6.979 0.393
5.699 -2.928 2.000
-1.411 -7.115 -4.281
4.787 -5.703 -5.848
0.031 -3.218 0.050
4.584 -3.771 -0.807
1.012 -1.348 -2.742
3.450 -9.391 2.354
6.484 -1.334 -5.208
6.998 -7.023 -4.383
0.616 -7.144 -7.364
2.946 -1.284 0.175
7.013 -6.288 -0.960
9.237 -2.978 -3.383
1.633 -6.394 -4.494
2.748 -3.742 -3.787
2.435 -8.887 -2.172
0.000 0.000 0.000
-1.357 -6.521 -0.832
3.038 -1.377 -5.825
5.671 -5.265 0.962
0.393 -7.380 -2.487
2.975 -7.416 -6.416
8.253 -5.301 -2.967
3.902 -9.475 -0.161
2.161 -3.170 -1.364
6.484 -9.511 -4.091
4.744 -3.207 -5.293
7.846 -3.179 -0.441
4.337 -1.084 -2.767
0.856 -8.409 0.640
2.625 -4.200 1.764
2.105 -4.264 -7.017
-0.477 -4.228 -3.088
```

Properties
M_tot, μB per atom: 0.000
Uncorrected energy, eV per atom: -34.12